## LiCu2Pt (SCAN)

Data for a PBEsol-optimized structure of LiCu2Pt.

Computed properties:
energy of formation = -0.269 eV/atom
space-group type = Fm-3m
magnetic moment = 0.00 Bohr magnetons per cell
calculated total energy = -26.01 eV/atom
volume = 50 Å³/f.u.

Unit cell a=4.1404 b=4.1404 c=4.1404 alpha=60.00 beta=60.00 gamma=60.00
Last column: nearest neighbours and their distance in Å.
Fractional coordinates of all 4 atoms:
Li (0.0000, 0.0000, 0.0000)  8 Cu 2.54
Cu (0.2500, 0.2500, 0.2500)  4 Pt 2.54, 4 Li 2.54
Cu (0.7500, 0.7500, 0.7500)  4 Pt 2.54, 4 Li 2.54
Pt (0.5000, 0.5000, 0.5000)  8 Cu 2.54


## HgPdW3 (SCAN)

Data for a PBEsol-optimized structure of HgPdW3.

Computed properties:
energy of formation = 3.372 eV/atom
space-group type = Pm-3m
magnetic moment = 0.00 Bohr magnetons per cell
calculated total energy = -58.63 eV/atom
volume = 112 Å³/f.u.

Unit cell a=4.8136 b=4.8136 c=4.8136 alpha=90.00 beta=90.00 gamma=90.00
Last column: nearest neighbours and their distance in Å.
Fractional coordinates of all 5 atoms:
Hg (0.0000, 0.0000, 0.0000)  6 W 2.41
Pd (0.5000, 0.5000, 0.5000)  12 W 3.40
W (0.0000, 0.0000, 0.5000)  2 Hg 2.41
W (0.0000, 0.5000, 0.0000)  2 Hg 2.41
W (0.5000, 0.0000, 0.0000)  2 Hg 2.41


## LaReF2 (SCAN)

Data for a PBEsol-optimized structure of LaReF2.

Computed properties:
space-group type = R-3m
magnetic moment = 0.00 Bohr magnetons per cell
calculated total energy = -31.26 eV/atom
E_form (uncorrected) = -90.7 kJ per mole of atoms
volume = 60 Å³/f.u.

Unit cell a=4.8773 b=4.8773 c=4.8773 alpha=48.89 beta=48.89 gamma=48.89
Last column: nearest neighbours and their distance in Å.
Fractional coordinates of all 4 atoms:
La (0.0000, 0.0000, 0.0000)  8 F 2.58-2.89
Re (0.5000, 0.5000, 0.5000)  6 F 2.37
F (0.2008, 0.2008, 0.2008)  3 Re 2.37, 3 F 2.49, 1 La 2.58
F (0.7992, 0.7992, 0.7992)  3 Re 2.37, 3 F 2.49, 1 La 2.58


## LiSi2Tc (SCAN)

Data for a PBEsol-optimized structure of LiSi2Tc.

Computed properties:
space-group type = Cmm2
magnetic moment = 0.00 Bohr magnetons per cell
calculated total energy = -14.14 eV/atom
E_form (uncorrected) = 22.6 kJ per mole of atoms
volume = 55 Å³/f.u.

Unit cell a=2.6393 b=2.6393 c=8.1481 alpha=90.00 beta=90.00 gamma=104.33
Last column: nearest neighbours and their distance in Å.
Fractional coordinates of all 4 atoms:
Li (0.0000, 0.0000, 0.0000)  4 Li 2.64, 2 Si 2.65, 2 Tc 2.72
Si (0.0000, 0.0000, 0.5045)  2 Tc 2.45, 6 Si 2.58-2.64
Si (0.5000, 0.5000, 0.2582)  6 Si 2.58-2.64, 2 Li 2.65
Tc (0.5000, 0.5000, 0.7310)  2 Si 2.45, 4 Tc 2.64, 2 Li 2.72


## ZrTe (SCAN)

Data for a PBEsol-optimized structure of ZrTe.

Computed properties:
space-group type = R-3m
magnetic moment = 0.00 Bohr magnetons per cell
calculated total energy = -34.56 eV/atom
E_form (uncorrected) = -56.2 kJ per mole of atoms
volume = 47 Å³/f.u.

Unit cell a=4.6654 b=4.6654 c=4.6654 alpha=45.35 beta=45.35 gamma=45.35
Last column: nearest neighbours and their distance in Å.
Fractional coordinates of all 2 atoms:
Zr (0.0000, 0.0000, 0.0000)  6 Te 2.95
Te (0.5000, 0.5000, 0.5000)  6 Zr 2.95


## Li8CrS6 (SCAN)

Data for a PBEsol-optimized structure of Li8CrS6.

Computed properties:
space-group type = P6_3cm
magnetic moment = 4.00 Bohr magnetons per cell
calculated total energy = -7.70 eV/atom
E_form (uncorrected) = -129.7 kJ per mole of atoms
volume = 261 Å³/f.u.

Unit cell a=6.7621 b=6.7621 c=13.1791 alpha=90.00 beta=90.00 gamma=120.00
Last column: nearest neighbours and their distance in Å.
Fractional coordinates of all 30 atoms:
Li (0.0000, 0.3158, 0.0000)  4 S 2.40-2.50
Li (0.0000, 0.3744, 0.6354)  4 S 2.42-2.58
Li (0.0000, 0.6256, 0.1354)  4 S 2.42-2.58
Li (0.0000, 0.6842, 0.5000)  4 S 2.40-2.50
Li (0.3158, 0.0000, 0.0000)  4 S 2.40-2.50
Li (0.3158, 0.3158, 0.5000)  4 S 2.40-2.50
Li (0.3333, 0.6667, 0.3623)  4 S 2.44-2.45
Li (0.3333, 0.6667, 0.8623)  4 S 2.44-2.45
Li (0.3744, 0.0000, 0.6354)  4 S 2.42-2.58
Li (0.3744, 0.3744, 0.1354)  4 S 2.42-2.58
Li (0.6256, 0.0000, 0.1354)  4 S 2.42-2.58
Li (0.6256, 0.6256, 0.6354)  4 S 2.42-2.58
Li (0.6667, 0.3333, 0.3623)  4 S 2.44-2.45
Li (0.6667, 0.3333, 0.8623)  4 S 2.44-2.45
Li (0.6842, 0.0000, 0.5000)  4 S 2.40-2.50
Li (0.6842, 0.6842, 0.0000)  4 S 2.40-2.50
Cr (0.0000, 0.0000, 0.2661)  4 S 2.16-2.21
Cr (0.0000, 0.0000, 0.7661)  4 S 2.16-2.21
S (0.0000, 0.0000, 0.0987)  1 Cr 2.21
S (0.0000, 0.0000, 0.5987)  1 Cr 2.21
S (0.0000, 0.3042, 0.8152)  1 Cr 2.16
S (0.0000, 0.6958, 0.3152)  1 Cr 2.16
S (0.3042, 0.0000, 0.8152)  1 Cr 2.16
S (0.3042, 0.3042, 0.3152)  1 Cr 2.16
S (0.3333, 0.6667, 0.0484)  7 Li 2.40-2.45
S (0.3333, 0.6667, 0.5484)  7 Li 2.40-2.45
S (0.6667, 0.3333, 0.0484)  7 Li 2.40-2.45
S (0.6667, 0.3333, 0.5484)  7 Li 2.40-2.45
S (0.6958, 0.0000, 0.3152)  1 Cr 2.16
S (0.6958, 0.6958, 0.8152)  1 Cr 2.16


## LaTi2Ir2 (SCAN)

Data for a PBEsol-optimized structure of LaTi2Ir2.

Computed properties:
energy of formation = -1.001 eV/atom
space-group type = I4/mmm
magnetic moment = 0.00 Bohr magnetons per cell
calculated total energy = -44.47 eV/atom
volume = 97 Å³/f.u.

Unit cell a=6.1433 b=6.1433 c=6.1433 alpha=139.39 beta=139.39 gamma=58.79
Last column: nearest neighbours and their distance in Å.
Fractional coordinates of all 5 atoms:
La (0.0000, 0.0000, 0.0000)  8 Ir 3.29, 8 Ti 3.42
Ti (0.2500, 0.7500, 0.5000)  4 Ir 2.53
Ti (0.7500, 0.2500, 0.5000)  4 Ir 2.53
Ir (0.3764, 0.3764, 0.0000)  4 Ti 2.53, 1 Ir 2.65
Ir (0.6236, 0.6236, 0.0000)  4 Ti 2.53, 1 Ir 2.65


## Sc3FePt (SCAN)

Data for a PBEsol-optimized structure of Sc3FePt.

Computed properties:
energy of formation = -0.126 eV/atom
space-group type = Pm-3m
magnetic moment = 0.00 Bohr magnetons per cell
calculated total energy = -26.33 eV/atom
volume = 98 Å³/f.u.

Unit cell a=4.6038 b=4.6038 c=4.6038 alpha=90.00 beta=90.00 gamma=90.00
Last column: nearest neighbours and their distance in Å.
Fractional coordinates of all 5 atoms:
Sc (0.0000, 0.0000, 0.5000)  2 Fe 2.30
Sc (0.0000, 0.5000, 0.0000)  2 Fe 2.30
Sc (0.5000, 0.0000, 0.0000)  2 Fe 2.30
Fe (0.0000, 0.0000, 0.0000)  6 Sc 2.30
Pt (0.5000, 0.5000, 0.5000)  12 Sc 3.26